1:
8
Lattice="7.791 0.000 -0.022 0.000 3.295 0.000 -1.232 0.000 5.636" Properties=species:S:1:pos:R:3 comment="PBE BePdCBr, relaxed" dos_at_fermi_per_ev_fu=0.62 volume_a3_per_cell=144.6 mass_density_g_cm3=4.762 pbc="T T T"
C 3.745 1.648 1.567
Br 0.465 1.648 2.818
Pd 4.038 1.648 3.581
Be 2.077 1.648 1.204
Pd 4.654 0.000 0.764
C 3.129 0.000 4.385
Br 1.081 0.000 0.000
Be 1.461 0.000 4.022

=====

2:
4
Lattice="-2.140 -1.185 2.044 -1.113 -1.565 -2.073 5.818 -5.211 0.811" Properties=species:S:1:pos:R:3 comment="PBE BePdCBr, relaxed" dos_at_fermi_per_ev_fu=1.90 volume_a3_per_cell=69.5 mass_density_g_cm3=4.953 pbc="T T T"
Be 1.941 -4.691 0.574
Pd -0.222 -3.989 1.205
Br 3.290 -6.267 1.039
C 1.797 -3.083 1.363

=====

Most stable: 1

=====

1:
8
Lattice="-6.967 -2.552 -1.736 0.933 -0.778 -2.602 3.162 -5.687 2.835" Properties=species:S:1:pos:R:3 comment="PBE BePdCBr, relaxed" dos_at_fermi_per_ev_fu=2.95 volume_a3_per_cell=151.2 mass_density_g_cm3=4.555 pbc="T T T"
Be -3.481 -2.466 -2.096
Pd -0.424 -5.844 1.596
C -2.895 -1.963 -0.451
Br -4.223 -5.899 0.250
C -0.847 -5.196 -0.335
Pd -1.538 -3.389 -1.123
Be -2.367 -4.920 0.623
Br -5.337 -3.445 -2.469

=====

2:
4
Lattice="3.416 0.011 0.004 -0.020 3.461 0.012 -1.075 -0.044 5.604" Properties=species:S:1:pos:R:3 comment="PBE BePdCBr, relaxed" dos_at_fermi_per_ev_fu=0.88 volume_a3_per_cell=66.3 mass_density_g_cm3=5.194 pbc="T T T"
Pd 0.412 2.460 3.147
Br 0.047 0.716 5.245
Be 1.860 0.740 1.800
C 0.135 0.732 2.114

=====

Most stable: 2

=====

1:
4
Lattice="0.000 3.492 3.492 3.492 0.000 3.492 3.492 3.492 0.000" Properties=species:S:1:pos:R:3 comment="PBE CaBe2Br, relaxed" dos_at_fermi_per_ev_fu=3.03 volume_a3_per_cell=85.2 mass_density_g_cm3=2.690 pbc="T T T"
Be 1.746 1.746 1.746
Br 3.492 3.492 3.492
Be 5.239 5.239 5.239
Ca 0.000 0.000 0.000

=====

2:
4
Lattice="8.180 -0.012 -0.007 7.414 3.456 -0.007 7.414 1.637 3.044" Properties=species:S:1:pos:R:3 comment="PBE CaBe2Br, relaxed" dos_at_fermi_per_ev_fu=1.99 volume_a3_per_cell=86.5 mass_density_g_cm3=2.648 pbc="T T T"
Be 11.737 2.592 1.545
Ca 17.256 3.811 2.272
Br 5.752 1.270 0.757
Be 22.776 5.030 2.998

=====

Most stable: 2

=====

1:
4
Lattice="-0.409 -4.205 2.647 0.841 -2.082 -3.179 4.219 0.207 0.981" Properties=species:S:1:pos:R:3 comment="PBE CaBe2Br, relaxed" dos_at_fermi_per_ev_fu=1.78 volume_a3_per_cell=84.1 mass_density_g_cm3=2.723 pbc="T T T"
Br 1.060 -2.572 0.774
Be 4.419 -0.314 0.184
Be 2.330 -0.417 -0.302
Ca 3.590 -3.509 -0.325

=====

2:
4
Lattice="3.418 -0.015 0.000 -1.161 3.214 0.000 0.000 0.000 7.693" Properties=species:S:1:pos:R:3 comment="PBE CaBe2Br, relaxed" dos_at_fermi_per_ev_fu=1.90 volume_a3_per_cell=84.4 mass_density_g_cm3=2.716 pbc="T T T"
Be 0.000 0.000 0.216
Br 1.128 1.600 1.923
Be 0.000 0.000 3.631
Ca 1.128 1.600 5.770

=====

3:
4
Lattice="5.167 -0.007 0.000 -2.462 4.543 0.000 0.000 0.000 3.784" Properties=species:S:1:pos:R:3 comment="PBE CaBe2Br, relaxed" dos_at_fermi_per_ev_fu=1.80 volume_a3_per_cell=88.7 mass_density_g_cm3=2.582 pbc="T T T"
Br 2.583 -0.003 1.892
Be 0.000 0.000 0.000
Ca -1.231 2.271 1.892
Be 1.352 2.268 0.000

=====

4:
4
Lattice="3.380 0.000 0.000 0.000 3.380 0.000 0.000 0.000 6.665" Properties=species:S:1:pos:R:3 comment="PBE CaBe2Br, relaxed" dos_at_fermi_per_ev_fu=1.44 volume_a3_per_cell=76.2 mass_density_g_cm3=3.009 pbc="T T T"
Br 1.690 1.690 1.666
Ca 1.690 1.690 4.999
Be 0.000 0.000 2.909
Be 0.000 0.000 0.424

=====

Most stable: 1

=====

1:
4
Lattice="-3.162 4.247 0.327 -4.432 -0.714 -2.826 2.450 -2.954 3.661" Properties=species:S:1:pos:R:3 comment="PBE CaBe2Br, relaxed" dos_at_fermi_per_ev_fu=1.96 volume_a3_per_cell=79.0 mass_density_g_cm3=2.900 pbc="T T T"
Br -3.797 1.766 -1.250
Be -2.889 -0.951 -0.207
Be 0.000 0.000 0.000
Ca -2.254 1.529 1.369

=====

2:
4
Lattice="3.642 0.000 0.000 0.000 4.100 0.000 0.000 0.000 5.714" Properties=species:S:1:pos:R:3 comment="PBE CaBe2Br, relaxed" dos_at_fermi_per_ev_fu=2.41 volume_a3_per_cell=85.3 mass_density_g_cm3=2.686 pbc="T T T"
Be 1.821 2.050 0.000
Br 1.821 0.000 2.857
Be 0.000 0.000 0.000
Ca 0.000 2.050 2.857

=====

3:
4
Lattice="3.323 0.000 0.000 0.000 3.240 0.000 0.000 0.000 8.651" Properties=species:S:1:pos:R:3 comment="PBE CaBe2Br, relaxed" dos_at_fermi_per_ev_fu=1.95 volume_a3_per_cell=93.1 mass_density_g_cm3=2.460 pbc="T T T"
Br 0.000 0.000 4.987
Ca 1.662 1.620 6.692
Be 0.000 0.000 0.416
Be 1.662 1.620 0.882

=====

4:
4
Lattice="4.353 0.000 0.000 0.000 4.387 0.000 0.000 0.000 5.227" Properties=species:S:1:pos:R:3 comment="PBE CaBe2Br, relaxed" dos_at_fermi_per_ev_fu=2.88 volume_a3_per_cell=99.8 mass_density_g_cm3=2.296 pbc="T T T"
Ca 2.176 2.193 3.920
Be 0.000 0.000 0.159
Br 2.176 2.193 1.307
Be 0.000 0.000 2.454

=====

Most stable: 3

=====

1:
8
Lattice="-5.524 5.691 -1.208 -3.195 -4.359 -5.930 -5.974 -0.529 -1.820" Properties=species:S:1:pos:R:3 comment="PBE CaBe2Br, relaxed" dos_at_fermi_per_ev_fu=2.12 volume_a3_per_cell=171.4 mass_density_g_cm3=2.674 pbc="T T T"
Br 0.000 0.000 0.000
Be -7.672 0.208 -3.897
Ca -4.359 0.666 -3.569
Be -4.046 -2.283 -4.283
Be -5.479 3.018 -1.980
Be -12.186 0.663 -7.754
Br -7.928 2.914 -3.298
Ca -6.764 -2.111 -5.659

=====

2:
4
Lattice="4.114 0.000 0.000 0.000 3.606 -0.016 0.000 0.046 5.996" Properties=species:S:1:pos:R:3 comment="PBE CaBe2Br, relaxed" dos_at_fermi_per_ev_fu=1.34 volume_a3_per_cell=88.9 mass_density_g_cm3=2.577 pbc="T T T"
Be 2.057 0.903 0.724
Be 0.000 0.901 0.456
Ca 2.057 2.744 4.642
Br 0.000 0.931 3.148

=====

Most stable: 2